Entry 1:
FeRe2Pt (PBE, relaxed); energy of formation = 12 meV/atom; density of states at the Fermi level = 3.5 states/eV per cell; space group = P4/mmm, No. 123; total DFT energy (no corrections) = -39.35 eV per cell; energy above the lowest structure with this stoichiometry = 34.1 meV per atom; M_tot = 0.55 μB/cell
1.0
2.685 0.000 0.000
0.000 2.685 0.000
0.000 0.000 7.732
Fe Pt Re
1 1 2
direct
0.500 0.500 0.250 Fe
0.500 0.500 0.750 Pt
0.000 0.000 0.020 Re
0.000 0.000 0.480 Re

Entry 2:
MgTlRe2 (PBE, relaxed); energy of formation = 955 meV/atom; density of states at the Fermi level = 4.1 states/eV per cell; space group = P4/mmm, No. 123; total DFT energy (no corrections) = -25.04 eV per cell; energy above the lowest structure with this stoichiometry = 666.5 meV per atom; M_tot = 0.00 μB/cell
1.0
2.753 0.000 0.000
0.000 2.753 0.000
0.000 0.000 9.462
Mg Re Tl
1 2 1
direct
0.500 0.500 0.750 Mg
0.000 0.000 0.982 Re
0.000 0.000 0.518 Re
0.500 0.500 0.250 Tl

Entry 3:
TbCdS3 (PBE, relaxed); density of states at the Fermi level = 7.2 states/eV per cell; space group = P2_1/m, No. 11; total DFT energy (no corrections) = -45.91 eV per cell; M_tot = 0.00 μB/cell; formation energy from raw total energies = -1005.4 meV/atom
1.0
4.160 0.000 0.000
0.000 7.195 -0.015
0.000 -3.391 9.699
Tb Cd S
2 2 6
direct
0.250 0.242 0.179 Tb
0.750 0.758 0.821 Tb
0.250 0.149 0.662 Cd
0.750 0.851 0.338 Cd
0.250 0.043 0.899 S
0.750 0.957 0.101 S
0.250 0.079 0.385 S
0.750 0.921 0.615 S
0.250 0.513 0.769 S
0.750 0.487 0.231 S

Entry 4:
SmPu2Ge2Pd2 (PBE, relaxed); energy of formation = -433 meV/atom; density of states at the Fermi level = 9.6 states/eV per cell; space group = R-3m, No. 166; total DFT energy (no corrections) = -56.04 eV per cell; M_tot = 0.95 μB/cell
1.0
-0.248 3.798 -1.803
0.530 0.396 -4.159
-8.571 0.255 -3.201
Sm Pu Ge Pd
1 2 2 2
direct
0.000 0.000 0.000 Sm
0.154 0.154 0.537 Pu
0.846 0.846 0.463 Pu
0.736 0.736 0.793 Ge
0.264 0.264 0.207 Ge
0.574 0.574 0.277 Pd
0.426 0.426 0.723 Pd